{"formula": "Tm4Pd3Ru", "functional": "PBE", "state": "relaxed", "total_magnetization_mub_per_atom": 0.00, "ef_ev_per_fu": -6.85, "vol_a3_per_atom": 20.2, "lattice_angstrom": [[3.407, 0.000, 0.000], [0.000, 3.407, 0.000], [0.000, 0.000, 13.919]], "species": ["Tm", "Tm", "Tm", "Tm", "Pd", "Pd", "Pd", "Ru"], "frac_coords": [[0.000, 0.000, 0.117], [0.000, 0.000, 0.373], [0.000, 0.000, 0.627], [0.000, 0.000, 0.883], [0.500, 0.500, 0.248], [0.500, 0.500, 0.500], [0.500, 0.500, 0.752], [0.500, 0.500, 0.000]]}